No. 1
The following is a PBE-GGA calculation of an optimized crystal structure of Ti12Bi6C, from Alexandria via LeMat-Bulk.

Computed properties:
ΔE_f = -52 meV/atom
Theoretical density = 7.6 Mg/m³
DOS(E_F) = 68.20 states/eV/cell

abc: 11.7101 11.7101 10.0999
angles: 90.00 90.00 120.00
Space group R-3 (No. 148, hexagonal axes)
Inequivalent atoms, fractional coordinates:
Ti (0.0300, 0.8788, 0.3735) [18 per cell]
Ti (0.0667, 0.9035, 0.8755) [18 per cell]
Bi (0.0284, 0.6258, 0.3014) [18 per cell]
C (0.0000, 0.0000, 0.0000) [3 per cell]



No. 2
The following is a PBE-GGA calculation of an optimized crystal structure of Ti4Bi2C, from Alexandria via LeMat-Bulk.

Computed properties:
ΔE_f = -349 meV/atom
Theoretical density = 7.9 Mg/m³
ΔE to the lowest computed polymorph = 0.013 eV per atom
DOS(E_F) = 12.34 states/eV/cell

abc: 7.1999 10.5469 3.4421
angles: 90.00 90.00 90.00
Space group Pbam (No. 55)
Inequivalent atoms, fractional coordinates:
Ti (0.1232, 0.1751, 0.0000) [4 per cell]
Ti (0.1654, 0.9369, 0.5000) [4 per cell]
Bi (0.0614, 0.6522, 0.5000) [4 per cell]
C (0.0000, 0.0000, 0.0000) [2 per cell]



No. 3
The following is a PBE-GGA calculation of an optimized crystal structure of Ti7BiC2, from Alexandria via LeMat-Bulk.

Computed properties:
ΔE_f = -151 meV/atom
Theoretical density = 5.8 Mg/m³
DOS(E_F) = 21.90 states/eV/cell

abc: 7.0163 11.0760 4.1707
angles: 90.00 90.00 90.00
Space group Cmmm (No. 65)
Inequivalent atoms, fractional coordinates:
Ti (0.0000, 0.0000, 0.0000) [2 per cell]
Ti (0.0000, 0.2204, 0.5000) [4 per cell]
Ti (0.2084, 0.3624, 0.0000) [8 per cell]
Bi (0.0000, 0.5000, 0.5000) [2 per cell]
C (0.0000, 0.2060, 0.0000) [4 per cell]



No. 4
The following is a PBE-GGA calculation of an optimized crystal structure of TiTlBi2C, from Alexandria via LeMat-Bulk.

Computed properties:
ΔE_f = 554 meV/atom
Theoretical density = 9.6 Mg/m³
DOS(E_F) = 6.07 states/eV/cell

abc: 5.3299 5.3299 4.1500
angles: 90.00 90.00 90.00
Space group P4/mmm (No. 123)
Inequivalent atoms, fractional coordinates:
Ti (0.0000, 0.0000, 0.0000) [1 per cell]
Tl (0.5000, 0.5000, 0.0000) [1 per cell]
Bi (0.0000, 0.5000, 0.5000) [2 per cell]
C (0.0000, 0.0000, 0.5000) [1 per cell]



No. 5
The following is a PBE-GGA calculation of an optimized crystal structure of TiBi2WC, from Alexandria via LeMat-Bulk.

Computed properties:
ΔE_f = 1041 meV/atom
Theoretical density = 11.3 Mg/m³
DOS(E_F) = 3.00 states/eV/cell

abc: 4.9457 4.9457 3.9670
angles: 90.00 90.00 90.00
Space group P4/mmm (No. 123)
Inequivalent atoms, fractional coordinates:
Ti (0.0000, 0.0000, 0.0000) [1 per cell]
Bi (0.0000, 0.5000, 0.5000) [2 per cell]
W (0.5000, 0.5000, 0.0000) [1 per cell]
C (0.0000, 0.0000, 0.5000) [1 per cell]



No. 6
The following is a PBE-GGA calculation of an optimized crystal structure of Y2TiBiC, from Alexandria via LeMat-Bulk.

Computed properties:
ΔE_f = -497 meV/atom
Theoretical density = 6.9 Mg/m³
DOS(E_F) = 2.97 states/eV/cell

abc: 5.0213 5.0213 4.2674
angles: 90.00 90.00 90.00
Space group P4/mmm (No. 123)
Inequivalent atoms, fractional coordinates:
Y (0.0000, 0.5000, 0.0000) [2 per cell]
Ti (0.0000, 0.0000, 0.5000) [1 per cell]
Bi (0.5000, 0.5000, 0.5000) [1 per cell]
C (0.0000, 0.0000, 0.0000) [1 per cell]



Please write out number 6 again, unchanged.
The following is a PBE-GGA calculation of an optimized crystal structure of Y2TiBiC, from Alexandria via LeMat-Bulk.

Computed properties:
ΔE_f = -497 meV/atom
Theoretical density = 6.9 Mg/m³
DOS(E_F) = 2.97 states/eV/cell

abc: 5.0213 5.0213 4.2674
angles: 90.00 90.00 90.00
Space group P4/mmm (No. 123)
Inequivalent atoms, fractional coordinates:
Y (0.0000, 0.5000, 0.0000) [2 per cell]
Ti (0.0000, 0.0000, 0.5000) [1 per cell]
Bi (0.5000, 0.5000, 0.5000) [1 per cell]
C (0.0000, 0.0000, 0.0000) [1 per cell]



Question: Look up the theoretical density of the third one.
Answer: 5.8 Mg/m³



Question: What is the ΔE_f in the second record?
Answer: -349 meV/atom